## RbNbReAg2 (PBE)

Data for an optimized crystal structure of RbNbReAg2.

Summary:
E_form ... 1473 kJ/mol of formula units
Total magnetization ... 1.55 μB per cell

Lattice parameters (Å, degrees): 4.9313 4.9313 5.1877 90.00 90.00 90.00
Space group P4/mmm (No. 123)
One atom of each set of equivalent atoms:
Rb1 0.0000 0.0000 0.0000
Nb1 0.0000 0.0000 0.5000
Re1 0.5000 0.5000 0.5000
Ag1 0.0000 0.5000 0.0000

## Pu2GeS4 (PBE)

Data for an optimized crystal structure of Pu2GeS4.

Summary:
Raw formation energy ... -1.173 eV per atom
Total magnetization ... 20.00 μB per cell

Lattice parameters (Å, degrees): 14.0976 4.0106 7.0346 90.00 118.81 90.00
Space group C2/m (No. 12)
One atom of each set of equivalent atoms:
Pu1 0.2291 0.0000 0.2245
Ge1 0.0000 0.5000 0.5000
S1 0.1266 0.5000 0.9382
S2 0.1374 0.0000 0.4939

## BaCa4Au5 (PBE)

Data for an optimized crystal structure of BaCa4Au5.

Summary:
E_form ... -727 kJ/mol of formula units
Total magnetization ... 0.00 μB per cell

Lattice parameters (Å, degrees): 3.7380 3.7380 18.3512 90.00 90.00 90.00
Space group P4/mmm (No. 123)
One atom of each set of equivalent atoms:
Ba1 0.0000 0.0000 0.0000
Ca1 0.0000 0.0000 0.2120
Ca2 0.0000 0.0000 0.4038
Au1 0.5000 0.5000 0.1218
Au2 0.5000 0.5000 0.3073
Au3 0.5000 0.5000 0.5000

## Cd2PtAu (PBE)

Data for an optimized crystal structure of Cd2PtAu.

Summary:
E_form ... -47 kJ/mol of formula units
Total magnetization ... 0.00 μB per cell

Lattice parameters (Å, degrees): 3.5965 3.5965 5.8537 90.00 90.00 90.00
Space group P4mm (No. 99)
One atom of each set of equivalent atoms:
Cd1 0.0000 0.0000 0.0000
Cd2 0.5000 0.5000 0.2892
Pt1 0.0000 0.0000 0.5030
Au1 0.5000 0.5000 0.7710

## CaSb2Ru (PBE)

Data for an optimized crystal structure of CaSb2Ru.

Summary:
Raw formation energy ... -0.182 eV per atom
Total magnetization ... 0.00 μB per cell

Lattice parameters (Å, degrees): 7.0023 7.0023 7.0023 90.00 90.00 90.00
Space group Fm-3m (No. 225)
One atom of each set of equivalent atoms:
Ca1 0.0000 0.0000 0.0000
Sb1 0.2500 0.2500 0.2500
Ru1 0.0000 0.0000 0.5000

## Rb2MgHCl6 (PBE)

Data for an optimized crystal structure of Rb2MgHCl6.

Summary:
Calculated total energy ... -31.07 eV/f.u.
Total magnetization ... 2.00 μB per cell

Lattice parameters (Å, degrees): 7.8633 7.8633 9.0939 90.00 90.00 90.00
Space group I4/mmm (No. 139)
One atom of each set of equivalent atoms:
Rb1 0.0000 0.5000 0.2500
Mg1 0.0000 0.0000 0.0000
H1 0.0000 0.0000 0.5000
Cl1 0.0000 0.0000 0.3269
Cl2 0.2157 0.2157 0.0000

## MgNbH (PBE)

Data for an optimized crystal structure of MgNbH.

Summary:
Calculated total energy ... -14.95 eV/f.u.
Total magnetization ... 0.00 μB per cell

Lattice parameters (Å, degrees): 2.9732 5.5772 5.8687 116.15 100.30 97.63
Space group P1 (No. 1)
One atom of each set of equivalent atoms:
Mg1 0.0000 0.0000 0.0000
Mg2 0.4265 0.4671 0.9492
Nb1 0.4903 0.9909 0.4760
Nb2 0.9176 0.4703 0.4742
H1 0.5418 0.7331 0.6309
H2 0.8670 0.7288 0.3212

## Tb6DyHoTm2 (PBE)

Data for an optimized crystal structure of Tb6DyHoTm2.

Summary:
E_form ... 116 kJ/mol of formula units
Total magnetization ... 0.00 μB per cell

Lattice parameters (Å, degrees): 9.0223 14.9406 9.4907 90.00 97.47 90.00
Space group C2/c (No. 15)
One atom of each set of equivalent atoms:
Tb1 0.0625 0.1835 0.4449
Tb2 0.1012 0.3927 0.6199
Tb3 0.2080 0.2250 0.8158
Dy1 0.0000 0.0250 0.7500
Ho1 0.0000 0.4089 0.2500
Tm1 0.2497 0.0517 0.0450

## NaCu2Rh (PBE)

Data for an optimized crystal structure of NaCu2Rh.

Summary:
E_form ... 82 kJ/mol of formula units
Total magnetization ... 0.00 μB per cell

Lattice parameters (Å, degrees): 3.1270 3.1270 6.6118 90.00 90.00 90.00
Space group P4/mmm (No. 123)
One atom of each set of equivalent atoms:
Na1 0.0000 0.0000 0.0000
Cu1 0.5000 0.5000 0.3059
Rh1 0.0000 0.0000 0.5000

## Mg6SiSn3 (PBE)

Data for an optimized crystal structure of Mg6SiSn3.

Summary:
Raw formation energy ... -0.062 eV per atom
Total magnetization ... 0.00 μB per cell

Lattice parameters (Å, degrees): 8.7174 11.6785 4.7776 90.00 90.00 90.00
Space group Pnnm (No. 58)
One atom of each set of equivalent atoms:
Mg1 0.0340 0.1299 0.0000
Mg2 0.1733 0.2896 0.5000
Mg3 0.1940 0.5130 0.0000
Si1 0.0000 0.0000 0.5000
Sn1 0.0000 0.5000 0.5000
Sn2 0.1539 0.7539 0.5000

## Pm2Cu9Sn (PBE)

Data for an optimized crystal structure of Pm2Cu9Sn.

Summary:
E_form ... -95 kJ/mol of formula units
Total magnetization ... 0.00 μB per cell

Lattice parameters (Å, degrees): 5.1719 5.1719 25.0916 90.00 90.00 120.00
Space group R-3m (No. 166, hexagonal axes)
One atom of each set of equivalent atoms:
Pm1 0.0000 0.0000 0.1363
Cu1 0.0000 0.0000 0.3329
Cu2 0.0000 0.0000 0.5000
Cu3 0.0015 0.5007 0.9188
Sn1 0.0000 0.0000 0.0000

The highest total magnetization belongs to which entry? Pu2GeS4

Which value of total magnetization does entry 5 give? 0.00 μB per cell

Which of these has the highest total magnetization? Pu2GeS4

Which of these has the highest total magnetization? Pu2GeS4